1.
VASP calculation (PBE) on a geometry-optimized Rb2Pt3S4 structure.

Cell: 8.5960 7.3806 6.3791 Å, 76.94 56.76 46.30°
Sites, in units of the cell vectors:
Rb  0.3483  0.3483  0.6517
Rb  0.6517  0.6517  0.3483
Pt  0.0000  0.0000  0.5000
Pt  0.5000  0.5000  0.0000
Pt  0.0000  0.0000  0.0000
S  0.9428  0.2806  0.7194
S  0.2806  0.9428  0.0572
S  0.7194  0.0572  0.9428
S  0.0572  0.7194  0.2806

## Properties
- calculated volume (Å³ per cell) = 237
- uncorrected formation energy (kJ per mole of atoms) = -70.1
- space-group type = No. 69

***

2.
VASP calculation (PBE) on a geometry-optimized RbPt2S2 structure.

Cell: 4.6816 4.6816 6.6276 Å, 69.32 69.32 90.00°
Sites, in units of the cell vectors:
S  0.2500  0.7500  0.5000
S  0.7500  0.2500  0.5000
Rb  0.0000  0.0000  0.0000
Pt  0.2994  0.2994  0.4012
Pt  0.7006  0.7006  0.5988

## Properties
- calculated volume (Å³ per cell) = 126
- polymorph energy (0 for the lowest one) (meV per atom) = 0
- uncorrected formation energy (kJ per mole of atoms) = -39.8
- space-group type = No. 139